(1)
Sm6CoRh2I3, optimized geometry, DFT GGA-PBE; energy relative to the elements, uncorrected = -826.3 meV/atom
1.0
3.552 -6.153 0.000
3.552 6.153 0.000
-2.365 0.000 8.042
Sm Co Rh I
6 1 2 3
Cartesian
1.147 1.986 1.466
-0.072 0.000 6.571
1.147 -1.986 1.466
3.590 1.986 6.576
4.809 0.000 1.471
3.590 -1.986 6.576
0.000 0.000 0.000
3.552 2.051 0.000
3.552 -2.051 0.000
2.369 4.102 4.021
2.369 0.000 4.021
2.369 -4.102 4.021

(2)
Ca2BeBr, optimized geometry, DFT GGA-PBE; energy relative to the elements, uncorrected = -175.5 meV/atom; E above lowest polymorph = 0.285 eV per atom
1.0
-2.120 2.120 6.231
2.120 -2.120 6.231
2.120 2.120 -6.231
Ca Be Br
2 1 1
Cartesian
0.000 0.000 0.000
0.000 2.120 3.115
2.120 0.000 3.115
0.000 0.000 6.231

(3)
CeThHg6, optimized geometry, DFT GGA-PBE; energy of formation = -0.28 eV/atom
1.0
5.045 0.000 0.000
0.000 3.421 5.928
0.000 -3.421 5.928
Ce Th Hg
1 1 6
Cartesian
0.000 0.000 0.000
2.523 0.000 3.943
0.000 0.000 5.955
0.000 -1.673 8.867
0.000 1.673 8.867
2.523 -1.672 6.932
2.523 1.672 6.932
2.523 0.000 9.843

(4)
CoPRu2Pt, optimized geometry, DFT GGA-PBE; E above lowest polymorph = 1.427 eV per atom; energy of formation = 1.86 eV/atom
1.0
4.789 0.000 0.000
0.000 4.789 0.000
0.000 0.000 4.514
Co P Ru Pt
1 1 2 1
Cartesian
0.000 0.000 0.000
2.395 2.395 0.000
0.000 2.395 2.257
2.395 0.000 2.257
0.000 0.000 2.257